Here is an optimized crystal structure of Ac2NbCoO6 from the Alexandria database. Energies are from GGA+U.

a b c (Å): 4.1599 5.7465 5.7465
angles (deg): 90.00 90.00 90.00
Closest atoms and distances in Å follow each position.
Element x y z (fractional)
O 0.6645 0.2447 0.7553  1 Nb 1.99, 1 Co 2.08
O 0.1443 0.0000 0.0000  2 Nb 2.03-2.13
O 0.6645 0.7553 0.2447  1 Nb 1.99, 1 Co 2.08
Ac 0.1045 0.0000 0.5000  8 O 2.73-2.88
O 0.6645 0.2447 0.2447  1 Nb 1.99, 1 Co 2.08
Nb 0.6330 0.0000 0.0000  6 O 1.99-2.13
O 0.1522 0.5000 0.5000  2 Co 2.07-2.09
Co 0.6501 0.5000 0.5000  6 O 2.07-2.09
O 0.6645 0.7553 0.7553  1 Nb 1.99, 1 Co 2.08
Ac 0.1045 0.5000 0.0000  8 O 2.73-2.88

- energy (eV per cell) = -78.59

Here is an optimized crystal structure of AcNbCoO6 from the Alexandria database. Energies are from GGA+U.

a b c (Å): 5.1863 5.1789 5.3764
angles (deg): 89.85 89.70 59.95
Closest atoms and distances in Å follow each position.
Element x y z (fractional)
Co 0.6677 0.6645 0.5000  6 O 1.89-1.91
O 0.9839 0.3896 0.2958  1 Co 1.89, 1 Nb 2.02
O 0.6265 0.3896 0.7042  1 Co 1.89, 1 Nb 2.02
O 0.9845 0.6262 0.7060  1 Co 1.91, 1 Nb 2.01
Ac 0.9998 0.0004 0.0000  6 O 2.54
O 0.6236 0.9850 0.2936  1 Co 1.91, 1 Nb 2.01
O 0.3914 0.9850 0.7064  1 Co 1.91, 1 Nb 2.01
O 0.3893 0.6262 0.2940  1 Co 1.91, 1 Nb 2.01
Nb 0.3332 0.3337 0.5000  6 O 2.01-2.02

- energy (eV per cell) = -69.17